# 1
## Cs3Ga5Br12 (GGA-PBE)

Data for Cs3Ga5Br12 after structural relaxation.

Symmetry ... Ia-3d, No. 230
E_tot ... -2.89 eV per atom
Energy relative to the elements, uncorrected ... -20.01 eV per formula unit
Size of the total moment ... 0.00 μB/f.u.

Cell and atoms, written as POSCAR:
```
Cs3Ga5Br12
1.0
-9.293 9.293 9.293
9.293 -9.293 9.293
9.293 9.293 -9.293
Cs Ga Br
12 20 48
Direct
0.125 0.250 0.375 Cs
0.125 0.375 0.750 Cs
0.250 0.375 0.125 Cs
0.250 0.875 0.625 Cs
0.375 0.125 0.250 Cs
0.375 0.750 0.125 Cs
0.625 0.250 0.875 Cs
0.625 0.875 0.750 Cs
0.750 0.125 0.375 Cs
0.750 0.625 0.875 Cs
0.875 0.625 0.250 Cs
0.875 0.750 0.625 Cs
0.000 0.000 0.000 Ga
0.000 0.000 0.500 Ga
0.000 0.500 0.000 Ga
0.000 0.500 0.500 Ga
0.125 0.750 0.875 Ga
0.125 0.875 0.250 Ga
0.250 0.125 0.875 Ga
0.250 0.625 0.375 Ga
0.375 0.250 0.625 Ga
0.375 0.625 0.750 Ga
0.500 0.000 0.000 Ga
0.500 0.000 0.500 Ga
0.500 0.500 0.000 Ga
0.500 0.500 0.500 Ga
0.625 0.375 0.250 Ga
0.625 0.750 0.375 Ga
0.750 0.375 0.625 Ga
0.750 0.875 0.125 Ga
0.875 0.125 0.750 Ga
0.875 0.250 0.125 Ga
0.003 0.198 0.110 Br
0.003 0.305 0.893 Br
0.088 0.698 0.695 Br
0.088 0.890 0.393 Br
0.107 0.610 0.412 Br
0.107 0.997 0.695 Br
0.110 0.003 0.198 Br
0.110 0.607 0.912 Br
0.195 0.198 0.588 Br
0.195 0.497 0.607 Br
0.198 0.110 0.003 Br
0.198 0.588 0.195 Br
0.302 0.305 0.912 Br
0.302 0.497 0.390 Br
0.305 0.893 0.003 Br
0.305 0.912 0.302 Br
0.390 0.302 0.497 Br
0.390 0.588 0.893 Br
0.393 0.088 0.890 Br
0.393 0.805 0.503 Br
0.412 0.107 0.610 Br
0.412 0.805 0.802 Br
0.497 0.390 0.302 Br
0.497 0.607 0.195 Br
0.503 0.393 0.805 Br
0.503 0.610 0.698 Br
0.588 0.195 0.198 Br
0.588 0.893 0.390 Br
0.607 0.195 0.497 Br
0.607 0.912 0.110 Br
0.610 0.412 0.107 Br
0.610 0.698 0.503 Br
0.695 0.088 0.698 Br
0.695 0.107 0.997 Br
0.698 0.503 0.610 Br
0.698 0.695 0.088 Br
0.802 0.412 0.805 Br
0.802 0.890 0.997 Br
0.805 0.503 0.393 Br
0.805 0.802 0.412 Br
0.890 0.393 0.088 Br
0.890 0.997 0.802 Br
0.893 0.003 0.305 Br
0.893 0.390 0.588 Br
0.912 0.110 0.607 Br
0.912 0.302 0.305 Br
0.997 0.695 0.107 Br
0.997 0.802 0.890 Br
```

# 2
## Cs5GaBr8 (GGA-PBE)

Data for Cs5GaBr8 after structural relaxation.

Symmetry ... I-4, No. 82
E_tot ... -2.96 eV per atom
Energy relative to the elements, uncorrected ... -20.70 eV per formula unit
Size of the total moment ... 0.53 μB/f.u.

Cell and atoms, written as POSCAR:
```
Cs5GaBr8
1.0
-5.285 5.285 6.539
5.285 -5.285 6.539
5.285 5.285 -6.539
Cs Ga Br
5 1 8
Direct
0.000 0.000 0.000 Cs
0.255 0.091 0.575 Cs
0.320 0.745 0.836 Cs
0.515 0.680 0.425 Cs
0.909 0.485 0.164 Cs
0.750 0.250 0.500 Ga
0.035 0.358 0.702 Br
0.181 0.775 0.171 Br
0.225 0.396 0.406 Br
0.604 0.010 0.829 Br
0.642 0.344 0.677 Br
0.656 0.333 0.298 Br
0.667 0.965 0.323 Br
0.990 0.819 0.594 Br
```

# 3
## Cs2GaBr (GGA-PBE)

Data for Cs2GaBr after structural relaxation.

Symmetry ... I-42d, No. 122
E_tot ... -2.10 eV per atom
Energy relative to the elements, uncorrected ... -2.00 eV per formula unit
Size of the total moment ... 2.00 μB/f.u.
Energy above the most stable polymorph in this dataset ... 0.0 meV/atom

Cell and atoms, written as POSCAR:
```
Cs2GaBr
1.0
-4.870 4.870 5.237
4.870 -4.870 5.237
4.870 4.870 -5.237
Cs Ga Br
4 2 2
Direct
0.093 0.625 0.968 Cs
0.375 0.343 0.468 Cs
0.657 0.125 0.032 Cs
0.875 0.907 0.532 Cs
0.250 0.750 0.500 Ga
0.500 0.500 0.000 Ga
0.000 0.000 0.000 Br
0.750 0.250 0.500 Br
```

# 4
## Cs6Ga3Br14 (GGA-PBE)

Data for Cs6Ga3Br14 after structural relaxation.

Symmetry ... P3, No. 143
E_tot ... -2.97 eV per atom
Energy relative to the elements, uncorrected ... -30.58 eV per formula unit
Size of the total moment ... 0.80 μB/f.u.

Cell and atoms, written as POSCAR:
```
Cs6Ga3Br14
1.0
13.222 0.000 0.000
-6.611 11.450 0.000
0.000 0.000 6.808
Cs Ga Br
6 3 14
Direct
0.010 0.563 0.000 Cs
0.324 0.102 0.537 Cs
0.437 0.447 0.000 Cs
0.553 0.990 0.000 Cs
0.778 0.676 0.537 Cs
0.898 0.222 0.537 Cs
0.000 0.000 0.968 Ga
0.333 0.667 0.439 Ga
0.667 0.333 0.271 Ga
0.000 0.000 0.314 Br
0.068 0.876 0.847 Br
0.124 0.192 0.847 Br
0.209 0.474 0.321 Br
0.265 0.791 0.321 Br
0.333 0.667 0.786 Br
0.456 0.192 0.049 Br
0.524 0.401 0.492 Br
0.526 0.735 0.321 Br
0.599 0.123 0.492 Br
0.736 0.544 0.049 Br
0.808 0.264 0.049 Br
0.808 0.932 0.847 Br
0.877 0.476 0.492 Br
```

# 5
## CsGaBr2 (GGA-PBE)

Data for CsGaBr2 after structural relaxation.

Symmetry ... R-3m, No. 166
E_tot ... -2.93 eV per atom
Energy relative to the elements, uncorrected ... -4.50 eV per formula unit
Size of the total moment ... 0.00 μB/f.u.
Energy above the most stable polymorph in this dataset ... 28.4 meV/atom

Cell and atoms, written as POSCAR:
```
CsGaBr2
1.0
2.422 1.398 7.906
-2.422 1.398 7.906
0.000 -2.796 7.906
Cs Ga Br
1 1 2
Direct
0.000 0.000 0.000 Cs
0.500 0.500 0.500 Ga
0.237 0.237 0.237 Br
0.763 0.763 0.763 Br
```

# 6
## Cs3Ga2Br8 (GGA-PBE)

Data for Cs3Ga2Br8 after structural relaxation.

Symmetry ... R-3m, No. 166
E_tot ... -2.95 eV per atom
Energy relative to the elements, uncorrected ... -16.33 eV per formula unit
Size of the total moment ... 0.00 μB/f.u.

Cell and atoms, written as POSCAR:
```
Cs3Ga2Br8
1.0
3.911 2.258 10.207
-3.911 2.258 10.207
0.000 -4.516 10.207
Cs Ga Br
3 2 8
Direct
0.000 0.000 0.000 Cs
0.211 0.211 0.211 Cs
0.789 0.789 0.789 Cs
0.411 0.411 0.411 Ga
0.589 0.589 0.589 Ga
0.217 0.738 0.738 Br
0.262 0.262 0.783 Br
0.262 0.783 0.262 Br
0.331 0.331 0.331 Br
0.669 0.669 0.669 Br
0.738 0.217 0.738 Br
0.738 0.738 0.217 Br
0.783 0.262 0.262 Br
```

# 7
## CsGaBr2 (GGA-PBE)

Data for CsGaBr2 after structural relaxation.

Symmetry ... P2_1/c, No. 14
E_tot ... -2.96 eV per atom
Energy relative to the elements, uncorrected ... -4.62 eV per formula unit
Size of the total moment ... 0.00 μB/f.u.
Energy above the most stable polymorph in this dataset ... 0.0 meV/atom

Cell and atoms, written as POSCAR:
```
CsGaBr2
1.0
8.794 0.000 0.000
0.000 10.686 0.000
-2.599 0.000 7.589
Cs Ga Br
4 4 8
Direct
0.248 0.113 0.000 Cs
0.248 0.387 0.500 Cs
0.752 0.613 0.500 Cs
0.752 0.887 0.000 Cs
0.255 0.659 0.010 Ga
0.255 0.841 0.510 Ga
0.745 0.159 0.490 Ga
0.745 0.341 0.990 Ga
0.049 0.668 0.278 Br
0.049 0.832 0.778 Br
0.459 0.662 0.731 Br
0.459 0.838 0.231 Br
0.541 0.162 0.769 Br
0.541 0.338 0.269 Br
0.951 0.168 0.222 Br
0.951 0.332 0.722 Br
```

# 8
## CsGaBr2 (GGA-PBE)

Data for CsGaBr2 after structural relaxation.

Symmetry ... Fm-3m, No. 225
E_tot ... -2.84 eV per atom
Energy relative to the elements, uncorrected ... -4.15 eV per formula unit
Size of the total moment ... 0.00 μB/f.u.
Energy above the most stable polymorph in this dataset ... 117.5 meV/atom

Cell and atoms, written as POSCAR:
```
CsGaBr2
1.0
0.000 4.132 4.132
4.132 0.000 4.132
4.132 4.132 0.000
Cs Ga Br
1 1 2
Direct
0.000 0.000 0.000 Cs
0.500 0.500 0.500 Ga
0.250 0.250 0.250 Br
0.750 0.750 0.750 Br
```

- Among the records above, which one has the highest energy relative to the elements, uncorrected?
  Cs2GaBr

- What is the formula in the first record?
  Cs3Ga5Br12